Record 1
Compound: Te2WAu
Source: Alexandria via LeMat-Bulk
Functional: PBE-GGA
Structure: optimized geometry

**Energy relative to the elements, uncorrected**: 0.3686 eV/atom
**M_tot**: 0.000 μB/f.u.
**Volume**: 24.5 Å³/atom
**Crystal system**: tetragonal

Cell lengths 3.163, 3.163, 9.796 Å; angles 90.00, 90.00, 90.00 degrees
Element x y z (fractional)
1 Te 0.000 0.000 0.000
2 Te 0.500 0.500 0.400
3 W 0.000 0.000 0.571
4 Au 0.500 0.500 0.761

Record 2
Compound: TeW2Au
Source: Alexandria via LeMat-Bulk
Functional: PBE-GGA
Structure: optimized geometry

**Energy relative to the elements, uncorrected**: 0.8619 eV/atom
**M_tot**: 0.000 μB/f.u.
**Volume**: 18.5 Å³/atom
**Crystal system**: monoclinic

Cell lengths 2.996, 4.366, 5.819 Å; angles 90.00, 103.84, 90.00 degrees
Element x y z (fractional)
1 Te 0.000 0.000 0.000
2 W 0.356 0.500 0.269
3 W 0.644 0.500 0.731
4 Au 0.000 0.000 0.500

Record 3
Compound: Te2WAu
Source: Alexandria via LeMat-Bulk
Functional: PBE-GGA
Structure: optimized geometry

**Energy relative to the elements, uncorrected**: 0.5114 eV/atom
**M_tot**: 0.000 μB/f.u.
**Volume**: 23.6 Å³/atom
**Crystal system**: orthorhombic

Cell lengths 3.304, 4.347, 13.145 Å; angles 90.00, 90.00, 90.00 degrees
Element x y z (fractional)
1 Te 0.000 0.000 0.000
2 Te 0.000 0.500 0.219
3 Te 0.500 0.000 0.719
4 Te 0.500 0.500 0.500
5 W 0.000 0.500 0.663
6 W 0.500 0.000 0.163
7 Au 0.000 0.000 0.369
8 Au 0.500 0.500 0.869

Record 4
Compound: Te3WAu
Source: Alexandria via LeMat-Bulk
Functional: PBE-GGA
Structure: optimized geometry

**Energy relative to the elements, uncorrected**: 0.7460 eV/atom
**M_tot**: 0.000 μB/f.u.
**Volume**: 29.4 Å³/atom
**Crystal system**: cubic

Cell lengths 5.277, 5.277, 5.277 Å; angles 90.00, 90.00, 90.00 degrees
Element x y z (fractional)
1 Te 0.000 0.000 0.500
2 Te 0.000 0.500 0.000
3 Te 0.500 0.000 0.000
4 W 0.000 0.000 0.000
5 Au 0.500 0.500 0.500

Record 5
Compound: TeW2Au
Source: Alexandria via LeMat-Bulk
Functional: PBE-GGA
Structure: optimized geometry

**Energy relative to the elements, uncorrected**: 0.8922 eV/atom
**M_tot**: 0.000 μB/f.u.
**Volume**: 18.3 Å³/atom
**Crystal system**: monoclinic

Cell lengths 5.635, 9.098, 3.003 Å; angles 90.00, 108.40, 90.00 degrees
Element x y z (fractional)
1 Te 0.000 0.000 0.000
2 Te 0.500 0.500 0.000
3 W 0.250 0.250 0.500
4 W 0.250 0.750 0.500
5 W 0.750 0.250 0.500
6 W 0.750 0.750 0.500
7 Au 0.000 0.500 0.000
8 Au 0.500 0.000 0.000

Record 6
Compound: TeW2Au
Source: Alexandria via LeMat-Bulk
Functional: PBE-GGA
Structure: optimized geometry

**Energy relative to the elements, uncorrected**: 0.8571 eV/atom
**M_tot**: 0.000 μB/f.u.
**Volume**: 18.4 Å³/atom
**Crystal system**: orthorhombic

Cell lengths 3.225, 4.734, 4.817 Å; angles 90.00, 90.00, 90.00 degrees
Element x y z (fractional)
1 Te 0.000 0.000 0.000
2 W 0.000 0.500 0.500
3 W 0.500 0.000 0.500
4 Au 0.500 0.500 0.000